A relaxed Ti2Cu crystal. Source: Alexandria, functional GGA-PBE.

Cell: 11.4537 11.4537 11.4537 Å, 90.00 90.00 90.00°
Space group Fd-3m (No. 227, origin choice 2)
Symmetry-distinct sites (fractional):
Ti 0.0000 0.0000 0.0000
Ti 0.0586 0.3750 0.8750
Cu 0.0395 0.0395 0.2105

Output
DFT total energy: -6.655 eV per atom
D(E_F): 123.33 states/eV per cell
Calculated formation energy: -0.026 eV per atom



A relaxed MoAsRuBr2 crystal. Source: Alexandria, functional GGA-PBE.

Cell: 5.2145 5.2145 4.8578 Å, 90.00 90.00 90.00°
Space group P4/mmm (No. 123)
Symmetry-distinct sites (fractional):
Mo 0.0000 0.0000 0.0000
As 0.0000 0.0000 0.5000
Ru 0.5000 0.5000 0.5000
Br 0.0000 0.5000 0.0000

Output
ΔE_f (raw): 5.7 eV per formula unit
Energy relative to the lowest polymorph listed for this composition: 157 meV per atom
DFT total energy: -4.490 eV per atom
D(E_F): 7.82 states/eV per cell



A relaxed Mg4AlCd3 crystal. Source: Alexandria, functional GGA-PBE.

Cell: 6.2382 6.2146 9.2931 Å, 90.00 109.42 90.00°
Space group C2/m (No. 12)
Symmetry-distinct sites (fractional):
Mg 0.1266 0.2501 0.2574
Al 0.0000 0.0000 0.5000
Cd 0.0000 0.5000 0.5000
Cd 0.2503 0.0000 0.0001

Output
DFT total energy: -1.665 eV per atom
D(E_F): 5.44 states/eV per cell
Calculated formation energy: -0.057 eV per atom



A relaxed Ca2In6NiPt crystal. Source: Alexandria, functional GGA-PBE.

Cell: 10.2171 10.2171 10.2171 Å, 90.00 90.00 90.00°
Space group Fm-3m (No. 225)
Symmetry-distinct sites (fractional):
Ca 0.2500 0.2500 0.2500
In 0.0000 0.0000 0.2422
Ni 0.0000 0.0000 0.0000
Pt 0.0000 0.0000 0.5000

Output
DFT total energy: -3.450 eV per atom
D(E_F): 22.94 states/eV per cell
Calculated formation energy: -0.225 eV per atom



A relaxed NdHoTeAs crystal. Source: Alexandria, functional GGA-PBE.

Cell: 4.1981 4.1981 22.3941 Å, 90.00 90.00 120.00°
Space group R3m (No. 160, hexagonal axes)
Symmetry-distinct sites (fractional):
Nd 0.0000 0.0000 0.0000
Ho 0.0000 0.0000 0.1892
Te 0.0000 0.0000 0.4306
As 0.0000 0.0000 0.5926

Output
ΔE_f (raw): -5.8 eV per formula unit
DFT total energy: -5.740 eV per atom
D(E_F): 7.71 states/eV per cell



A relaxed ZnFe3Co3 crystal. Source: Alexandria, functional GGA-PBE.

Cell: 6.9843 6.9843 6.9843 Å, 90.00 90.00 90.00°
Space group P2_13 (No. 198)
Symmetry-distinct sites (fractional):
Zn 0.0319 0.4681 0.5319
Fe 0.1443 0.6443 0.8557
Fe 0.1493 0.8507 0.3507
Fe 0.1693 0.1693 0.1693
Co 0.0542 0.3231 0.8681

Output
DFT total energy: -6.690 eV per atom
D(E_F): 13.88 states/eV per cell
Calculated formation energy: 0.164 eV per atom